(1)
# CdAuSeBr2

A crystal of CdAuSeBr2 relaxed with PBEsol (SCAN, Alexandria).

- formation energy (no corrections) (eV/atom) = 0.12

Cell: 5.0664 5.0664 5.2237 Å, 90.00 90.00 90.00°
With the nearest neighbours (Å) after each atom.
Space group P4/mmm (No. 123)
Symmetry-distinct sites (fractional):
Cd  0.0000  0.0000  0.0000 [1 per cell]  4 Se 3.58, 8 Br 3.64
Au  0.5000  0.5000  0.5000 [1 per cell]  4 Br 2.53, 2 Se 2.61
Se  0.5000  0.5000  0.0000 [1 per cell]  2 Au 2.61
Br  0.0000  0.5000  0.5000 [2 per cell]  2 Au 2.53

(2)
# CeSn3Ru

A crystal of CeSn3Ru relaxed with PBEsol (SCAN, Alexandria).

- DFT formation energy (eV per atom) = -0.558

Cell: 9.5964 9.5964 9.5964 Å, 90.00 90.00 90.00°
With the nearest neighbours (Å) after each atom.
Space group Pm-3n (No. 223)
Symmetry-distinct sites (fractional):
Ce  0.0000  0.0000  0.0000 [2 per cell]  12 Sn 3.39
Ce  0.0000  0.2500  0.5000 [6 per cell]  12 Sn 3.32-3.38, 4 Ru 3.39
Sn  0.0000  0.3176  0.1542 [24 per cell]  2 Ru 2.65, 1 Sn 2.96
Ru  0.2500  0.2500  0.2500 [8 per cell]  6 Sn 2.65

(3)
# CdTc3P

A crystal of CdTc3P relaxed with PBEsol (SCAN, Alexandria).

- DFT formation energy (eV per atom) = 0.428

Cell: 4.3495 4.3495 4.3495 Å, 90.00 90.00 90.00°
With the nearest neighbours (Å) after each atom.
Space group Pm-3m (No. 221)
Symmetry-distinct sites (fractional):
Cd  0.0000  0.0000  0.0000 [1 per cell]  12 Tc 3.08
Tc  0.0000  0.5000  0.5000 [3 per cell]  2 P 2.17
P  0.5000  0.5000  0.5000 [1 per cell]  6 Tc 2.17

(4)
# CoB12H28N2O30

A crystal of CoB12H28N2O30 relaxed with PBEsol (SCAN, Alexandria).

Cell: 7.4285 7.7812 10.9674 Å, 108.79 93.76 91.10°
With the nearest neighbours (Å) after each atom.
Space group P-1 (No. 2)
Symmetry-distinct sites (fractional):
Co  0.0000  0.0000  0.0000 [1 per cell]  6 O 2.06-2.11
B  0.1003  0.5572  0.2810 [2 per cell]  3 O 1.37-1.38
B  0.1223  0.8900  0.3484 [2 per cell]  4 O 1.46-1.51
B  0.1638  0.7000  0.1115 [2 per cell]  4 O 1.45-1.51
B  0.3293  0.0158  0.2044 [2 per cell]  4 O 1.45-1.51
B  0.3452  0.1528  0.4438 [2 per cell]  3 O 1.37-1.38
B  0.4650  0.7573  0.0433 [2 per cell]  3 O 1.36-1.38
H  0.0247  0.3568  0.0412 [2 per cell]  1 O 1.00
H  0.1132  0.2879  0.2461 [2 per cell]  1 O 1.01
H  0.1293  0.0445  0.5954 [2 per cell]  1 O 1.01
H  0.1327  0.9788  0.7854 [2 per cell]  1 O 1.01
H  0.1588  0.6443  0.6469 [2 per cell]  1 N 1.04
H  0.2043  0.2525  0.7627 [2 per cell]  1 O 1.00
H  0.2198  0.6805  0.5107 [2 per cell]  1 N 1.05
H  0.2846  0.1918  0.1024 [2 per cell]  1 O 1.02
H  0.2866  0.4500  0.8501 [2 per cell]  1 O 0.98
H  0.3080  0.9751  0.8767 [2 per cell]  1 O 1.00
H  0.3191  0.5151  0.5602 [2 per cell]  1 N 1.05
H  0.3728  0.7361  0.6420 [2 per cell]  1 N 1.04
H  0.3742  0.3086  0.6358 [2 per cell]  1 O 1.01
H  0.3768  0.4354  0.0560 [2 per cell]  1 O 1.01
N  0.2675  0.6449  0.5917 [2 per cell]  4 H 1.04-1.05
O  0.0278  0.7518  0.0308 [2 per cell]  1 H 1.00
O  0.0646  0.0652  0.6765 [2 per cell]  1 H 1.01
O  0.0766  0.4028  0.3135 [2 per cell]  1 H 1.01
O  0.0992  0.5507  0.1537 [2 per cell]  2 B 1.38-1.47
O  0.1247  0.7201  0.3781 [2 per cell]  2 B 1.37-1.46
O  0.1788  0.9316  0.8572 [2 per cell]  2 H 1.00-1.01
O  0.2078  0.1202  0.1449 [2 per cell]  1 H 1.02
O  0.2160  0.0318  0.4564 [2 per cell]  2 B 1.38-1.46
O  0.2173  0.8652  0.2264 [2 per cell]  3 B 1.51
O  0.3088  0.3420  0.7771 [2 per cell]  2 H 0.98-1.00
O  0.3268  0.6359  0.0424 [2 per cell]  2 B 1.38-1.48
O  0.3997  0.3029  0.0386 [2 per cell]  1 H 1.01
O  0.4132  0.1325  0.3267 [2 per cell]  2 B 1.37-1.45
O  0.4131  0.2974  0.5468 [2 per cell]  1 H 1.01
O  0.4677  0.9360  0.1167 [2 per cell]  2 B 1.36-1.46

In the order shown, the computed electronic total energy values come out to -31.59 -37.99 -28.77 -7.26 eV per atom.